Run one
First-principles (PBE-GGA) data for an optimized crystal structure of Lu3Ti, as listed in Alexandria via LeMat-Bulk.

```
4
Lattice="-3.144 -0.738 1.014 1.781 -0.957 4.827 -0.860 5.633 1.434" Properties=species:S:1:pos:R:3 pbc="T T T"
Lu -2.002 2.449 1.225
Ti -0.004 0.024 0.006
Lu 0.615 1.327 2.874
Lu -1.405 3.891 4.127
```

Computed properties:
Magnetic moment (μB/f.u.): 1.0
Crystal system: orthorhombic
Space-group type: No. 25

Run two
First-principles (PBE-GGA) data for an optimized crystal structure of Lu3Ti, as listed in Alexandria via LeMat-Bulk.

```
4
Lattice="4.701 0.000 0.000 0.000 4.701 0.000 0.000 0.000 4.701" Properties=species:S:1:pos:R:3 pbc="T T T"
Ti 0.000 0.000 0.000
Lu 2.350 0.000 2.350
Lu 0.000 2.350 2.350
Lu 2.350 2.350 0.000
```

Computed properties:
Magnetic moment (μB/f.u.): 1.4
Crystal system: cubic
Space-group type: No. 221

Run three
First-principles (PBE-GGA) data for an optimized crystal structure of Lu3Ti, as listed in Alexandria via LeMat-Bulk.

```
4
Lattice="-1.176 -2.991 4.223 3.890 -1.926 3.054 0.726 1.917 4.895" Properties=species:S:1:pos:R:3 pbc="T T T"
Lu 0.860 -0.750 3.043
Lu 0.000 0.000 0.000
Ti 1.720 -1.500 6.086
Lu 2.580 -2.249 9.129
```

Computed properties:
Magnetic moment (μB/f.u.): 3.7
Crystal system: cubic
Space-group type: No. 225

Run four
First-principles (PBE-GGA) data for an optimized crystal structure of Lu3Ti, as listed in Alexandria via LeMat-Bulk.

```
4
Lattice="4.708 0.000 0.000 0.000 4.708 0.000 -2.354 -2.354 4.702" Properties=species:S:1:pos:R:3 pbc="T T T"
Ti 0.000 0.000 0.000
Lu 0.000 2.354 2.351
Lu 2.354 2.354 0.000
Lu 2.354 0.000 2.351
```

Computed properties:
Magnetic moment (μB/f.u.): 1.3
Crystal system: tetragonal
Space-group type: No. 139

Relative to the most stable structure, the computed energies are run one 0.000; run two 0.107; run three 0.085; run four 0.035, all in eV/atom.

Run one
First-principles (PBE-GGA) data for an optimized crystal structure of Lu2TiTl, as listed in Alexandria via LeMat-Bulk.

```
4
Lattice="-0.402 -2.586 -2.123 -0.411 -3.121 1.205 -10.364 -0.496 -0.109" Properties=species:S:1:pos:R:3 pbc="T T T"
Ti 0.000 0.000 0.000
Lu -8.504 -4.636 -0.769
Tl -5.588 -3.102 -0.514
Lu -2.673 -1.568 -0.259
```

Computed properties:
Magnetic moment (μB/f.u.): 0.0
Crystal system: trigonal
Space-group type: No. 166

Run two
First-principles (PBE-GGA) data for an optimized crystal structure of Lu2TiTl, as listed in Alexandria via LeMat-Bulk.

```
4
Lattice="-3.023 -0.190 -1.692 0.931 -3.072 -1.318 -3.356 -3.772 6.421" Properties=species:S:1:pos:R:3 pbc="T T T"
Lu -2.549 -2.865 4.877
Lu -0.807 -0.907 1.544
Tl -2.724 -3.517 1.706
Ti -1.046 -1.631 -1.505
```

Computed properties:
Magnetic moment (μB/f.u.): 0.0
Crystal system: tetragonal
Space-group type: No. 123

Relative to the most stable structure, the computed energies are run one 0.074; run two 0.000, all in eV/atom.

Run one
First-principles (PBE-GGA) data for an optimized crystal structure of Lu2TiTl, as listed in Alexandria via LeMat-Bulk.

```
4
Lattice="4.387 0.000 0.000 0.000 4.707 0.000 0.000 0.000 4.707" Properties=species:S:1:pos:R:3 pbc="T T T"
Lu 0.000 0.000 2.353
Tl 2.193 2.353 2.353
Ti 2.193 0.000 0.000
Lu 0.000 2.353 0.000
```

Computed properties:
Magnetic moment (μB/f.u.): 2.5
Crystal system: tetragonal
Space-group type: No. 123

Run two
First-principles (PBE-GGA) data for an optimized crystal structure of Lu2TiTl, as listed in Alexandria via LeMat-Bulk.

```
4
Lattice="5.178 0.000 0.000 2.589 4.484 0.000 2.589 1.495 4.228" Properties=species:S:1:pos:R:3 pbc="T T T"
Lu 2.589 1.495 1.057
Ti 5.178 2.989 2.114
Tl 0.000 0.000 0.000
Lu 7.767 4.484 3.171
```

Computed properties:
Magnetic moment (μB/f.u.): 2.9
Crystal system: cubic
Space-group type: No. 225

Relative to the most stable structure, the computed energies are run one 0.000; run two 0.049, all in eV/atom.

Run one
First-principles (PBE-GGA) data for an optimized crystal structure of LuTiTl, as listed in Alexandria via LeMat-Bulk.

```
3
Lattice="-2.478 -2.238 -0.611 0.848 -1.706 2.810 -2.996 5.323 2.084" Properties=species:S:1:pos:R:3 pbc="T T T"
Lu -4.573 1.331 4.238
Ti -2.507 2.204 2.094
Tl -2.173 -0.779 2.234
```

Computed properties:
Magnetic moment (μB/f.u.): 0.0
Crystal system: tetragonal
Space-group type: No. 107

Run two
First-principles (PBE-GGA) data for an optimized crystal structure of LuTiTl, as listed in Alexandria via LeMat-Bulk.

```
3
Lattice="-1.650 1.732 -2.303 -0.126 -4.031 -2.942 -3.687 0.825 3.263" Properties=species:S:1:pos:R:3 pbc="T T T"
Lu -2.413 -1.258 -2.409
Ti -2.775 -0.505 0.811
Tl -0.275 0.289 -0.384
```

Computed properties:
Magnetic moment (μB/f.u.): 2.1
Crystal system: hexagonal
Space-group type: No. 187

Relative to the most stable structure, the computed energies are run one 0.000; run two 0.105, all in eV/atom.

Run one
First-principles (PBE-GGA) data for an optimized crystal structure of TmLu2Ti, as listed in Alexandria via LeMat-Bulk.

```
4
Lattice="3.343 0.000 0.000 0.000 3.343 0.000 0.000 0.000 9.355" Properties=species:S:1:pos:R:3 pbc="T T T"
Ti 1.671 1.671 0.000
Tm 1.671 1.671 4.677
Lu 0.000 0.000 2.065
Lu 0.000 0.000 7.290
```

Computed properties:
Magnetic moment (μB/f.u.): 0.0
Crystal system: tetragonal
Space-group type: No. 123

Run two
First-principles (PBE-GGA) data for an optimized crystal structure of TmLu2Ti, as listed in Alexandria via LeMat-Bulk.

```
4
Lattice="4.715 0.000 0.000 0.000 4.711 0.000 0.000 0.000 4.711" Properties=species:S:1:pos:R:3 pbc="T T T"
Tm 2.358 2.355 2.355
Lu 0.000 2.355 0.000
Lu 0.000 0.000 2.355
Ti 2.358 0.000 0.000
```

Computed properties:
Magnetic moment (μB/f.u.): 1.1
Crystal system: tetragonal
Space-group type: No. 123

Relative to the most stable structure, the computed energies are run one 0.000; run two 0.033, all in eV/atom.

Run one
First-principles (PBE-GGA) data for an optimized crystal structure of YLu2Ti, as listed in Alexandria via LeMat-Bulk.

```
4
Lattice="4.757 0.000 0.000 0.000 4.738 0.000 0.000 0.000 4.738" Properties=species:S:1:pos:R:3 pbc="T T T"
Lu 0.000 0.000 2.369
Y 2.379 0.000 0.000
Lu 0.000 2.369 0.000
Ti 2.379 2.369 2.369
```

Computed properties:
Magnetic moment (μB/f.u.): 1.2
Crystal system: tetragonal
Space-group type: No. 123

Run two
First-principles (PBE-GGA) data for an optimized crystal structure of YLu2Ti, as listed in Alexandria via LeMat-Bulk.

```
4
Lattice="3.351 0.000 0.000 0.000 3.351 0.000 0.000 0.000 9.479" Properties=species:S:1:pos:R:3 pbc="T T T"
Lu 0.000 0.000 2.051
Lu 0.000 0.000 7.428
Y 1.676 1.676 4.739
Ti 1.676 1.676 0.000
```

Computed properties:
Magnetic moment (μB/f.u.): 0.0
Crystal system: tetragonal
Space-group type: No. 123

Relative to the most stable structure, the computed energies are run one 0.045; run two 0.000, all in eV/atom.

Run one
First-principles (PBE-GGA) data for an optimized crystal structure of Lu2ZrTi, as listed in Alexandria via LeMat-Bulk.

```
4
Lattice="-0.547 1.005 -4.487 1.356 -4.212 -1.109 -4.322 -1.445 0.203" Properties=species:S:1:pos:R:3 pbc="T T T"
Lu -2.161 -0.722 0.101
Zr -0.273 0.503 -2.243
Ti -1.756 -2.326 -2.696
Lu 0.678 -2.106 -0.555
```

Computed properties:
Magnetic moment (μB/f.u.): 0.0
Crystal system: tetragonal
Space-group type: No. 123

Run two
First-principles (PBE-GGA) data for an optimized crystal structure of Lu2ZrTi, as listed in Alexandria via LeMat-Bulk.

```
4
Lattice="-2.446 1.907 -2.151 -2.757 -0.757 2.464 1.462 5.694 3.385" Properties=species:S:1:pos:R:3 pbc="T T T"
Ti -2.602 0.575 0.156
Lu 1.119 4.355 2.589
Zr -1.870 3.422 1.849
Lu 0.344 1.339 0.796
```

Computed properties:
Magnetic moment (μB/f.u.): 0.6
Crystal system: tetragonal
Space-group type: No. 123

Relative to the most stable structure, the computed energies are run one 0.000; run two 0.101, all in eV/atom.

Run one
First-principles (PBE-GGA) data for an optimized crystal structure of LuZrTi2, as listed in Alexandria via LeMat-Bulk.

```
4
Lattice="-1.097 -3.519 2.224 0.975 -2.532 -3.525 4.189 -0.395 1.442" Properties=species:S:1:pos:R:3 pbc="T T T"
Ti 2.095 -0.197 0.721
Ti 0.487 -1.266 -1.762
Zr -0.549 -1.760 1.112
Lu 2.033 -3.223 0.071
```

Computed properties:
Magnetic moment (μB/f.u.): 0.0
Crystal system: tetragonal
Space-group type: No. 123

Run two
First-principles (PBE-GGA) data for an optimized crystal structure of LuZrTi2, as listed in Alexandria via LeMat-Bulk.

```
4
Lattice="-1.049 2.571 -2.283 1.698 -1.688 -2.682 -5.549 -3.455 -1.340" Properties=species:S:1:pos:R:3 pbc="T T T"
Ti -4.396 -2.737 -1.062
Ti -1.153 -0.718 -0.279
Zr 0.324 0.442 -2.482
Lu -2.450 -1.286 -3.152
```

Computed properties:
Magnetic moment (μB/f.u.): 0.0
Crystal system: tetragonal
Space-group type: No. 123

Relative to the most stable structure, the computed energies are run one 0.056; run two 0.000, all in eV/atom.

Run one
First-principles (PBE-GGA) data for an optimized crystal structure of Tm2LuTl, as listed in Alexandria via LeMat-Bulk.

```
4
Lattice="5.388 0.000 0.000 2.694 4.666 0.000 2.694 1.555 4.399" Properties=species:S:1:pos:R:3 pbc="T T T"
Tm 8.082 4.666 3.299
Tl 5.388 3.111 2.200
Tm 2.694 1.555 1.100
Lu 0.000 0.000 0.000
```

Computed properties:
Magnetic moment (μB/f.u.): 0.8
Crystal system: cubic
Space-group type: No. 225

Run two
First-principles (PBE-GGA) data for an optimized crystal structure of Tm2LuTl, as listed in Alexandria via LeMat-Bulk.

```
4
Lattice="3.544 0.000 0.000 0.000 3.544 0.000 0.000 0.000 9.063" Properties=species:S:1:pos:R:3 pbc="T T T"
Tl 1.772 1.772 0.000
Lu 1.772 1.772 4.532
Tm 0.000 0.000 2.129
Tm 0.000 0.000 6.934
```

Computed properties:
Magnetic moment (μB/f.u.): 0.0
Crystal system: tetragonal
Space-group type: No. 123

Relative to the most stable structure, the computed energies are run one 0.150; run two 0.000, all in eV/atom.

Run one
First-principles (PBE-GGA) data for an optimized crystal structure of Y2LuTl, as listed in Alexandria via LeMat-Bulk.

```
4
Lattice="-4.826 0.187 0.094 -0.066 -3.425 3.415 0.199 3.411 3.424" Properties=species:S:1:pos:R:3 pbc="T T T"
Y -0.033 -1.713 1.708
Tl -2.413 0.094 0.047
Lu -2.347 0.087 3.467
Y 0.100 1.705 1.712
```

Computed properties:
Magnetic moment (μB/f.u.): 1.1
Crystal system: tetragonal
Space-group type: No. 123

Run two
First-principles (PBE-GGA) data for an optimized crystal structure of Y2LuTl, as listed in Alexandria via LeMat-Bulk.

```
4
Lattice="-5.131 -1.708 0.654 -1.706 -1.686 4.890 -3.534 3.018 2.841" Properties=species:S:1:pos:R:3 pbc="T T T"
Y -7.778 -0.282 6.289
Tl 0.000 0.000 0.000
Y -2.593 -0.094 2.096
Lu -5.185 -0.188 4.193
```

Computed properties:
Magnetic moment (μB/f.u.): 1.3
Crystal system: cubic
Space-group type: No. 225

Relative to the most stable structure, the computed energies are run one 0.000; run two 0.120, all in eV/atom.

Run one
First-principles (PBE-GGA) data for an optimized crystal structure of LuTlZn2, as listed in Alexandria via LeMat-Bulk.

```
4
Lattice="-0.136 -2.787 4.027 4.024 -2.376 1.472 2.348 1.436 4.053" Properties=species:S:1:pos:R:3 pbc="T T T"
Lu 0.000 0.000 0.000
Zn 4.677 -2.795 7.164
Zn 1.559 -0.932 2.388
Tl 3.118 -1.863 4.776
```

Computed properties:
Magnetic moment (μB/f.u.): 0.0
Crystal system: cubic
Space-group type: No. 225

Run two
First-principles (PBE-GGA) data for an optimized crystal structure of LuTlZn2, as listed in Alexandria via LeMat-Bulk.

```
4
Lattice="-1.277 -3.791 0.683 4.294 -1.369 0.431 -0.172 0.858 4.442" Properties=species:S:1:pos:R:3 pbc="T T T"
Zn -0.086 0.429 2.221
Tl -0.638 -1.895 0.341
Zn 2.147 -0.684 0.215
Lu 1.423 -2.151 2.778
```

Computed properties:
Magnetic moment (μB/f.u.): 0.0
Crystal system: tetragonal
Space-group type: No. 123

Relative to the most stable structure, the computed energies are run one 0.073; run two 0.000, all in eV/atom.

Run one
First-principles (PBE-GGA) data for an optimized crystal structure of LuZr2Tl, as listed in Alexandria via LeMat-Bulk.

```
4
Lattice="3.286 0.000 0.000 0.000 3.286 0.000 0.000 0.000 9.090" Properties=species:S:1:pos:R:3 pbc="T T T"
Zr 0.000 0.000 6.920
Tl 1.643 1.643 0.000
Lu 1.643 1.643 4.545
Zr 0.000 0.000 2.170
```

Computed properties:
Magnetic moment (μB/f.u.): 0.0
Crystal system: tetragonal
Space-group type: No. 123

Run two
First-principles (PBE-GGA) data for an optimized crystal structure of LuZr2Tl, as listed in Alexandria via LeMat-Bulk.

```
4
Lattice="-3.230 3.282 -0.107 -2.188 -2.042 3.409 2.382 2.441 2.991" Properties=species:S:1:pos:R:3 pbc="T T T"
Lu -1.518 1.841 3.147
Zr -1.094 -1.021 1.704
Zr 1.191 1.221 1.496
Tl -1.615 1.641 -0.053
```

Computed properties:
Magnetic moment (μB/f.u.): 0.0
Crystal system: tetragonal
Space-group type: No. 123

Relative to the most stable structure, the computed energies are run one 0.097; run two 0.000, all in eV/atom.

Run one
First-principles (PBE-GGA) data for an optimized crystal structure of TmLu, as listed in Alexandria via LeMat-Bulk.

```
4
Lattice="3.443 0.000 -0.152 0.000 5.376 0.000 -1.416 0.000 6.475" Properties=species:S:1:pos:R:3 pbc="T T T"
Lu 0.270 4.032 5.552
Tm 0.098 4.032 2.189
Tm 1.930 1.344 4.133
Lu 1.758 1.344 0.771
```

Computed properties:
Magnetic moment (μB/f.u.): 0.0
Crystal system: monoclinic
Space-group type: No. 11

Run two
First-principles (PBE-GGA) data for an optimized crystal structure of TmLu, as listed in Alexandria via LeMat-Bulk.

```
2
Lattice="3.916 0.000 0.000 0.000 3.916 0.000 0.000 0.000 3.916" Properties=species:S:1:pos:R:3 pbc="T T T"
Lu 0.000 0.000 0.000
Tm 1.958 1.958 1.958
```

Computed properties:
Magnetic moment (μB/f.u.): 0.0
Crystal system: cubic
Space-group type: No. 221

Relative to the most stable structure, the computed energies are run one 0.000; run two 0.080, all in eV/atom.

Run one
First-principles (PBE-GGA) data for an optimized crystal structure of Tm2Lu, as listed in Alexandria via LeMat-Bulk.

```
3
Lattice="-1.137 -0.825 3.168 -1.694 -2.722 -1.316 7.396 -2.454 0.119" Properties=species:S:1:pos:R:3 pbc="T T T"
Tm 3.990 -2.820 0.697
Lu 0.000 0.000 0.000
Tm 0.576 -3.180 1.274
```

Computed properties:
Magnetic moment (μB/f.u.): 0.0
Crystal system: tetragonal
Space-group type: No. 139

Run two
First-principles (PBE-GGA) data for an optimized crystal structure of Tm2Lu, as listed in Alexandria via LeMat-Bulk.

```
6
Lattice="-4.643 3.869 -2.163 -1.742 -0.217 -6.174 -5.706 -2.440 -1.641" Properties=species:S:1:pos:R:3 pbc="T T T"
Tm -7.556 0.757 -6.237
Tm -4.704 1.977 -5.416
Lu -3.023 0.303 -2.495
Tm -5.235 -1.177 -5.155
Tm -6.685 0.866 -3.149
Lu 0.000 0.000 0.000
```

Computed properties:
Magnetic moment (μB/f.u.): 0.0
Crystal system: cubic
Space-group type: No. 227

Relative to the most stable structure, the computed energies are run one 0.000; run two 0.225, all in eV/atom.